Material: SrNd2Mn3O9
Method: DFT, GGA+U
State: relaxed

a b c (Å): 16.787 7.760 5.540
angles (deg): 90.00 90.00 90.00
Space group Pnma (No. 62)
Asymmetric unit:
Sr (0.158, 0.250, 0.007) [4 per cell]
Nd (0.013, 0.750, 0.510) [4 per cell]
Nd (0.182, 0.750, 0.993) [4 per cell]
Mn (0.000, 0.000, 0.000) [4 per cell]
Mn (0.166, 0.001, 0.502) [8 per cell]
O (0.005, 0.250, 0.919) [4 per cell]
O (0.068, 0.033, 0.291) [8 per cell]
O (0.093, 0.550, 0.786) [8 per cell]
O (0.160, 0.750, 0.423) [4 per cell]
O (0.171, 0.250, 0.559) [4 per cell]
O (0.243, 0.032, 0.233) [8 per cell]

Summary:
The crystal system is orthorhombic. For the density of states at the Fermi level, the calculation gives 5.0 states/eV/cell. As for the volume: 722 Å³/cell. The calculation puts the total magnetization at 11.000 μB/f.u. The calculation puts the total energy at -7.62 eV/atom.